1.
This record from Alexandria describes an optimized crystal structure of ZnCu2Os. The functional is GGA-PBE.

Lattice parameters (Å, degrees): 3.7258 3.7361 3.7403 90.00 90.00 90.00
Closest atoms and distances in Å follow each position.
Space group Pmmm (No. 47)
Asymmetric unit:
Zn  0.0000  0.0000  0.0000 [1 per cell]  4 Os 2.64, 8 Cu 2.64
Cu  0.0000  0.5000  0.5000 [1 per cell]  4 Cu 2.64, 4 Os 2.64, 4 Zn 2.64
Cu  0.5000  0.0000  0.5000 [1 per cell]  4 Cu 2.64, 4 Zn 2.64, 4 Os 2.64
Os  0.5000  0.5000  0.0000 [1 per cell]  4 Zn 2.64, 8 Cu 2.64

Crystal system: orthorhombic
Energy of formation: 221 meV per atom
Electronic total energy: -4.953 eV per atom


2.
This record from Alexandria describes an optimized crystal structure of Zn2CuOs. The functional is GGA-PBE.

Lattice parameters (Å, degrees): 5.4250 7.5435 2.6797 90.00 90.00 90.00
Closest atoms and distances in Å follow each position.
Space group Cmmm (No. 65)
Asymmetric unit:
Zn  0.2500  0.2500  0.0000 [4 per cell]  4 Zn 2.68-2.71, 4 Os 2.68, 4 Cu 2.68
Cu  0.0000  0.0000  0.5000 [2 per cell]  2 Cu 2.68, 8 Zn 2.68, 2 Os 2.71
Os  0.0000  0.5000  0.5000 [2 per cell]  2 Os 2.68, 8 Zn 2.68, 2 Cu 2.71

Crystal system: orthorhombic
Energy of formation: 95 meV per atom
Electronic total energy: -4.374 eV per atom


3.
This record from Alexandria describes an optimized crystal structure of ZnCu2Os. The functional is GGA-PBE.

Lattice parameters (Å, degrees): 5.2394 7.7477 2.5887 90.00 90.00 90.00
Closest atoms and distances in Å follow each position.
Space group Cmmm (No. 65)
Asymmetric unit:
Zn  0.0000  0.0000  0.0000 [2 per cell]  2 Zn 2.59, 2 Os 2.62, 8 Cu 2.67
Cu  0.2500  0.2500  0.5000 [4 per cell]  4 Cu 2.59-2.62, 4 Os 2.67, 4 Zn 2.67
Os  0.0000  0.5000  0.0000 [2 per cell]  2 Os 2.59, 2 Zn 2.62, 8 Cu 2.67

Crystal system: orthorhombic
Energy of formation: 151 meV per atom
Electronic total energy: -5.023 eV per atom


4.
This record from Alexandria describes an optimized crystal structure of Zn6CuOs. The functional is GGA-PBE.

Lattice parameters (Å, degrees): 6.9100 6.9100 9.5756 90.00 90.00 120.00
Closest atoms and distances in Å follow each position.
Space group R-3m (No. 166, hexagonal axes)
Asymmetric unit:
Zn  0.0809  0.5405  0.3818 [18 per cell]  5 Zn 2.46-2.65, 1 Cu 2.52, 1 Os 2.55
Cu  0.0000  0.0000  0.0000 [3 per cell]  6 Zn 2.52
Os  0.0000  0.0000  0.5000 [3 per cell]  6 Zn 2.55

Crystal system: trigonal
Energy of formation: 434 meV per atom
Electronic total energy: -2.437 eV per atom


5.
This record from Alexandria describes an optimized crystal structure of Zn2CuOs. The functional is GGA-PBE.

Lattice parameters (Å, degrees): 2.8198 4.5177 8.6978 90.00 90.00 90.00
Closest atoms and distances in Å follow each position.
Space group Cmmm (No. 65)
Asymmetric unit:
Zn  0.0000  0.0000  0.2410 [4 per cell]  2 Cu 2.53, 2 Os 2.66, 6 Zn 2.66-2.82
Cu  0.0000  0.5000  0.0000 [2 per cell]  4 Zn 2.53, 6 Cu 2.66-2.82
Os  0.0000  0.5000  0.5000 [2 per cell]  4 Zn 2.66, 6 Os 2.66-2.82

Crystal system: orthorhombic
Energy of formation: 138 meV per atom
Electronic total energy: -4.330 eV per atom


6.
This record from Alexandria describes an optimized crystal structure of ZnCu2Os. The functional is GGA-PBE.

Lattice parameters (Å, degrees): 2.5674 4.2648 4.8604 90.00 96.89 90.00
Closest atoms and distances in Å follow each position.
Space group Pm (No. 6)
Asymmetric unit:
Zn  0.0000  0.0000  0.0000 [1 per cell]  5 Cu 2.51-2.75, 2 Zn 2.57, 2 Os 2.64
Cu  0.6417  0.0000  0.4957 [1 per cell]  4 Cu 2.50-2.57, 3 Zn 2.51-2.75, 2 Os 2.64
Cu  0.8176  0.5000  0.2545 [1 per cell]  4 Cu 2.50-2.57, 2 Zn 2.54, 2 Os 2.59-2.63
Os  0.3260  0.5000  0.7486 [1 per cell]  2 Os 2.57, 5 Cu 2.59-2.84, 2 Zn 2.64

Crystal system: monoclinic
Energy of formation: 228 meV per atom
Electronic total energy: -4.946 eV per atom


7.
This record from Alexandria describes an optimized crystal structure of ZnCu2Os. The functional is GGA-PBE.

Lattice parameters (Å, degrees): 2.6574 4.4683 8.8245 90.00 90.00 90.00
Closest atoms and distances in Å follow each position.
Space group Imm2 (No. 44)
Asymmetric unit:
Zn  0.0000  0.0000  0.0000 [2 per cell]  6 Cu 2.51-2.61, 2 Zn 2.66, 2 Os 2.67
Cu  0.0000  0.0000  0.4797 [2 per cell]  4 Cu 2.49-2.66, 4 Zn 2.61, 2 Os 2.63
Cu  0.0000  0.5000  0.7413 [2 per cell]  4 Cu 2.49-2.66, 2 Zn 2.51, 4 Os 2.60
Os  0.0000  0.5000  0.2375 [2 per cell]  6 Cu 2.60-2.63, 2 Os 2.66, 2 Zn 2.67

Crystal system: orthorhombic
Energy of formation: 218 meV per atom
Electronic total energy: -4.956 eV per atom


8.
This record from Alexandria describes an optimized crystal structure of Zn2CuOs. The functional is GGA-PBE.

Lattice parameters (Å, degrees): 6.0151 6.0151 6.0151 90.00 90.00 90.00
Closest atoms and distances in Å follow each position.
Space group F-43m (No. 216)
Asymmetric unit:
Zn  0.0000  0.0000  0.0000 [4 per cell]  4 Os 2.60, 4 Zn 2.60
Zn  0.2500  0.2500  0.2500 [4 per cell]  4 Cu 2.60, 4 Zn 2.60
Cu  0.0000  0.0000  0.5000 [4 per cell]  4 Os 2.60, 4 Zn 2.60
Os  0.2500  0.2500  0.7500 [4 per cell]  4 Cu 2.60, 4 Zn 2.60

Crystal system: cubic
Energy of formation: 286 meV per atom
Electronic total energy: -4.182 eV per atom


9.
This record from Alexandria describes an optimized crystal structure of ZnCu2Os. The functional is GGA-PBE.

Lattice parameters (Å, degrees): 2.5941 3.8128 5.3360 90.00 90.00 90.00
Closest atoms and distances in Å follow each position.
Space group Pmm2 (No. 25)
Asymmetric unit:
Zn  0.0000  0.0000  0.0000 [1 per cell]  2 Zn 2.59, 6 Cu 2.61-2.72, 4 Os 2.69
Cu  0.0000  0.0000  0.4901 [1 per cell]  6 Cu 2.59-2.64, 2 Zn 2.61-2.72, 4 Os 2.67
Cu  0.5000  0.5000  0.2478 [1 per cell]  6 Cu 2.59-2.64, 2 Os 2.63-2.71, 4 Zn 2.66
Os  0.5000  0.5000  0.7407 [1 per cell]  2 Os 2.59, 6 Cu 2.63-2.71, 4 Zn 2.69

Crystal system: orthorhombic
Energy of formation: 226 meV per atom
Electronic total energy: -4.948 eV per atom


10.
This record from Alexandria describes an optimized crystal structure of ZnCu2Os. The functional is GGA-PBE.

Lattice parameters (Å, degrees): 2.5690 3.8985 5.2672 90.00 90.13 90.00
Closest atoms and distances in Å follow each position.
Space group P2/m (No. 10)
Asymmetric unit:
Zn  0.0000  0.0000  0.0000 [1 per cell]  2 Zn 2.57, 2 Os 2.63, 8 Cu 2.68-2.69
Cu  0.4998  0.5000  0.2518 [2 per cell]  4 Cu 2.57-2.65, 4 Os 2.67-2.68, 4 Zn 2.68-2.69
Os  0.0000  0.0000  0.5000 [1 per cell]  2 Os 2.57, 2 Zn 2.63, 8 Cu 2.67-2.68

Crystal system: monoclinic
Energy of formation: 222 meV per atom
Electronic total energy: -4.952 eV per atom


11.
This record from Alexandria describes an optimized crystal structure of Zn2CuOs. The functional is GGA-PBE.

Lattice parameters (Å, degrees): 2.7202 2.7202 25.7600 90.00 90.00 120.00
Closest atoms and distances in Å follow each position.
Space group R-3m (No. 166, hexagonal axes)
Asymmetric unit:
Zn  0.0000  0.0000  0.2476 [6 per cell]  3 Cu 2.61, 3 Os 2.71, 6 Zn 2.72
Cu  0.0000  0.0000  0.5000 [3 per cell]  6 Zn 2.61, 6 Cu 2.72
Os  0.0000  0.0000  0.0000 [3 per cell]  6 Zn 2.71, 6 Os 2.72

Crystal system: trigonal
Energy of formation: 72 meV per atom
Electronic total energy: -4.396 eV per atom


12.
This record from Alexandria describes an optimized crystal structure of Zn2CuOs. The functional is GGA-PBE.

Lattice parameters (Å, degrees): 2.6901 2.6901 7.6733 90.00 90.00 90.00
Closest atoms and distances in Å follow each position.
Space group P4mm (No. 99)
Asymmetric unit:
Zn  0.0000  0.0000  0.0000 [1 per cell]  8 Zn 2.69-2.81, 4 Os 2.71
Zn  0.5000  0.5000  0.2690 [1 per cell]  4 Cu 2.63, 8 Zn 2.69-2.81
Cu  0.0000  0.0000  0.5047 [1 per cell]  4 Zn 2.63, 4 Os 2.66, 4 Cu 2.69
Os  0.5000  0.5000  0.7476 [1 per cell]  4 Cu 2.66, 4 Os 2.69, 4 Zn 2.71

Crystal system: tetragonal
Energy of formation: 238 meV per atom
Electronic total energy: -4.231 eV per atom


13.
This record from Alexandria describes an optimized crystal structure of ZnCu2Os. The functional is GGA-PBE.

Lattice parameters (Å, degrees): 5.9518 5.9518 5.9518 90.00 90.00 90.00
Closest atoms and distances in Å follow each position.
Space group F-43m (No. 216)
Asymmetric unit:
Zn  0.0000  0.0000  0.0000 [4 per cell]  4 Os 2.58, 4 Cu 2.58
Cu  0.0000  0.0000  0.5000 [4 per cell]  4 Os 2.58, 4 Cu 2.58
Cu  0.2500  0.2500  0.2500 [4 per cell]  4 Cu 2.58, 4 Zn 2.58
Os  0.2500  0.2500  0.7500 [4 per cell]  4 Cu 2.58, 4 Zn 2.58

Crystal system: cubic
Energy of formation: 370 meV per atom
Electronic total energy: -4.804 eV per atom


14.
This record from Alexandria describes an optimized crystal structure of Zn2CuOs. The functional is GGA-PBE.

Lattice parameters (Å, degrees): 2.6119 3.8720 5.4195 90.00 90.00 90.00
Closest atoms and distances in Å follow each position.
Space group Pmmm (No. 47)
Asymmetric unit:
Zn  0.0000  0.0000  0.2475 [2 per cell]  4 Zn 2.61-2.74, 4 Cu 2.69, 4 Os 2.71
Cu  0.5000  0.5000  0.0000 [1 per cell]  2 Cu 2.61, 8 Zn 2.69, 2 Os 2.71
Os  0.5000  0.5000  0.5000 [1 per cell]  2 Os 2.61, 8 Zn 2.71, 2 Cu 2.71

Crystal system: orthorhombic
Energy of formation: 140 meV per atom
Electronic total energy: -4.328 eV per atom


15.
This record from Alexandria describes an optimized crystal structure of ZnCu2Os. The functional is GGA-PBE.

Lattice parameters (Å, degrees): 2.6776 2.6776 25.6246 90.00 90.00 120.00
Closest atoms and distances in Å follow each position.
Space group R3m (No. 160, hexagonal axes)
Asymmetric unit:
Zn  0.0000  0.0000  0.0000 [3 per cell]  3 Cu 2.59, 6 Zn 2.68, 3 Os 2.75
Cu  0.0000  0.0000  0.4938 [3 per cell]  9 Cu 2.56-2.68, 3 Os 2.65
Cu  0.0000  0.0000  0.7477 [3 per cell]  9 Cu 2.56-2.68, 3 Zn 2.59
Os  0.0000  0.0000  0.2446 [3 per cell]  3 Cu 2.65, 6 Os 2.68, 3 Zn 2.75

Crystal system: trigonal
Energy of formation: 131 meV per atom
Electronic total energy: -5.043 eV per atom